Record 1
# AlCd2Te

A relaxed structure of AlCd2Te (PBE, Alexandria).

Computed properties:
E above lowest polymorph = 107.2 meV/atom
formation energy without anion corrections = 0.084 eV/atom
DOS(E_F) = 0.49 states/eV per atom
uncorrected energy = -2.0951 eV/atom
volume = 208.22 Å³ per cell
total magnetic moment = 0.000 μB per formula unit

Structure (POSCAR):
```
AlCd2Te
1.0
3.9433 0.0000 0.0000
0.0000 4.1838 0.0000
0.0000 0.0000 12.6209
Al Cd Te
2 4 2
Cartesian
0.0000 0.0000 0.0000 Al
1.9716 2.0919 6.3104 Al
0.0000 2.0919 3.6454 Cd
0.0000 2.0919 8.9754 Cd
1.9716 0.0000 2.6650 Cd
1.9716 0.0000 9.9559 Cd
0.0000 0.0000 6.3104 Te
1.9716 2.0919 0.0000 Te
```



Record 2
# Tl2SbIO6

A relaxed structure of Tl2SbIO6 (PBE, Alexandria).

Computed properties:
formation energy without anion corrections = -0.621 eV/atom
DOS(E_F) = 0.55 states/eV per atom
uncorrected energy = -4.6360 eV/atom
volume = 146.26 Å³ per cell
total magnetic moment = 0.000 μB per formula unit

Structure (POSCAR):
```
Tl2SbIO6
1.0
0.0000 4.1819 4.1819
4.1819 0.0000 4.1819
4.1819 4.1819 0.0000
Tl Sb I O
2 1 1 6
Cartesian
2.0909 2.0909 2.0909 Tl
6.2728 6.2728 6.2728 Tl
0.0000 0.0000 0.0000 Sb
4.1819 4.1819 4.1819 I
4.1819 4.1819 2.0762 O
4.1819 2.0762 4.1819 O
6.2875 4.1819 4.1819 O
2.0762 4.1819 4.1819 O
4.1819 6.2875 4.1819 O
4.1819 4.1819 6.2875 O
```



Record 3
# NdCoGe3

A relaxed structure of NdCoGe3 (PBE, Alexandria).

Computed properties:
energy of formation from the pure elements = -571.5 meV per atom
DOS(E_F) = 0.27 states/eV per atom
uncorrected energy = -5.7167 eV/atom
volume = 184.76 Å³ per cell
total magnetic moment = 0.000 μB per formula unit

Structure (POSCAR):
```
NdCoGe3
1.0
4.3182 0.0000 0.0000
0.0000 4.3182 0.0000
0.0000 0.0000 9.9081
Nd Co Ge
2 2 6
Cartesian
0.0000 0.0000 0.0000 Nd
2.1591 2.1591 4.9541 Nd
0.0000 0.0000 6.5991 Co
2.1591 2.1591 1.6450 Co
0.0000 0.0000 4.3120 Ge
0.0000 2.1591 2.5590 Ge
0.0000 2.1591 7.5131 Ge
2.1591 0.0000 2.5590 Ge
2.1591 0.0000 7.5131 Ge
2.1591 2.1591 9.2661 Ge
```